# 1
Mn2InTcTe | PBE-GGA | relaxed

```
Mn2InTcTe
1.0
4.823 0.000 0.000
0.000 4.823 0.000
0.000 0.000 5.044
Mn In Tc Te
2 1 1 1
Direct
0.000 0.500 0.000
0.500 0.000 0.000
0.000 0.000 0.500
0.500 0.500 0.500
0.500 0.500 0.000
```

## Properties
For the total energy, the calculation gives -5.84 eV/atom. The symmetry is No. 123. The formation energy (no corrections) is 1.079 eV per atom.

***

# 2
MnGa2SiP | PBE-GGA | relaxed

```
MnGa2SiP
1.0
4.515 0.000 0.000
0.000 4.515 0.000
0.000 0.000 4.532
Mn Ga Si P
1 2 1 1
Direct
0.000 0.000 0.000
0.000 0.500 0.500
0.500 0.000 0.500
0.500 0.500 0.000
0.500 0.500 0.500
```

## Properties
For the total energy, the calculation gives -4.04 eV/atom. The symmetry is No. 123. The formation energy (no corrections) is 1.172 eV per atom.

***

The following total moment values (in Bohr magnetons per cell) correspond, in order, to the records above: 4.80, 0.08.